# Nd4CS2O

A relaxed structure of Nd4CS2O (PBE-GGA, the Alexandria database).

* space-group type: P2/m

Geometry as POSCAR:
```
Nd4CS2O
1.0
6.6003 0.0000 0.0000
0.0000 3.8445 0.0000
-2.2156 0.0000 6.5393
Nd C S O
4 1 2 1
Cartesian
1.0883 0.0000 1.4092
-0.0552 1.9222 5.1242
4.4399 1.9222 1.4151
3.2964 0.0000 5.1301
0.0000 1.9222 0.0000
-1.1078 0.0000 3.2696
2.1923 1.9222 3.2696
3.3002 0.0000 0.0000
```

=====

# Nd4CSO2

A relaxed structure of Nd4CSO2 (PBE-GGA, the Alexandria database).

* space-group type: P2/m

Geometry as POSCAR:
```
Nd4CSO2
1.0
6.4180 0.0000 0.0000
0.0000 3.7561 0.0000
-2.2205 0.0000 6.2484
Nd C S O
4 1 1 2
Cartesian
1.0191 0.0000 1.3979
-0.1291 1.8781 4.7776
4.3266 1.8781 1.4707
3.1784 0.0000 4.8505
3.2090 0.0000 0.0000
2.0987 1.8781 3.1242
-1.1102 0.0000 3.1242
0.0000 1.8781 0.0000
```

=====

# Nd8C3S4O

A relaxed structure of Nd8C3S4O (PBE-GGA, the Alexandria database).

* space-group type: R-3m

Geometry as POSCAR:
```
Nd8C3S4O
1.0
3.8601 2.2287 6.5687
-3.8601 2.2287 6.5687
0.0000 -4.4573 6.5687
Nd C S O
8 3 4 1
Cartesian
-1.9567 -1.1297 11.2742
0.0000 0.0000 4.7306
0.0000 -2.2594 8.4319
-1.9567 1.1297 8.4319
1.9567 -1.1297 11.2742
0.0000 2.2594 11.2742
0.0000 0.0000 14.9755
1.9567 1.1297 8.4319
-3.8601 0.0000 9.8531
-1.9301 1.1143 3.2844
1.9301 1.1143 3.2844
0.0000 0.0000 0.0000
-1.9301 -1.1143 6.5687
-1.9301 1.1143 13.1374
0.0000 2.2287 6.5687
0.0000 0.0000 9.8531
```

=====

# Nd6C2S3O

A relaxed structure of Nd6C2S3O (PBE-GGA, the Alexandria database).

* space-group type: C2/m

Geometry as POSCAR:
```
Nd6C2S3O
1.0
8.6034 -1.9291 0.0000
8.6034 1.9291 0.0000
-2.1466 0.0000 7.6218
Nd C S O
6 2 3 1
Cartesian
-0.3401 0.0000 1.8058
4.6770 0.0000 3.3185
3.9131 0.0000 6.8285
11.1471 0.0000 0.7933
10.3832 0.0000 4.3033
15.4003 0.0000 5.8161
2.0965 0.0000 2.4825
12.9637 0.0000 5.1394
1.0745 0.0000 6.3502
7.5301 0.0000 3.8109
13.9856 0.0000 1.2717
8.6034 0.0000 0.0000
```

=====

# Nd6C2Se3O

A relaxed structure of Nd6C2Se3O (PBE-GGA, the Alexandria database).

* space-group type: C2/m

Geometry as POSCAR:
```
Nd6C2Se3O
1.0
8.8321 -1.9503 0.0000
8.8321 1.9503 0.0000
-2.3851 0.0000 7.7901
Nd C Se O
6 2 3 1
Cartesian
-0.3289 0.0000 1.7976
4.6742 0.0000 3.4387
3.8925 0.0000 6.9376
11.3867 0.0000 0.8525
10.6050 0.0000 4.3515
15.6080 0.0000 5.9925
2.0936 0.0000 2.5344
13.1856 0.0000 5.2557
0.9450 0.0000 6.4837
7.6396 0.0000 3.8951
14.3342 0.0000 1.3065
8.8321 0.0000 0.0000
```

=====

# Nd6Sn2CO

A relaxed structure of Nd6Sn2CO (PBE-GGA, the Alexandria database).

* space-group type: Fm-3m

Geometry as POSCAR:
```
Nd6Sn2CO
1.0
0.0000 5.0380 5.0380
5.0380 0.0000 5.0380
5.0380 5.0380 0.0000
Nd Sn C O
6 2 1 1
Cartesian
5.0380 5.0380 2.5053
5.0380 2.5053 5.0380
7.5708 5.0380 5.0380
2.5053 5.0380 5.0380
5.0380 7.5708 5.0380
5.0380 5.0380 7.5708
2.5190 2.5190 2.5190
7.5571 7.5571 7.5571
0.0000 0.0000 0.0000
5.0380 5.0380 5.0380
```

=====

no.,total magnetization (μB per cell),E_form (uncorrected) (eV per formula unit)
1,0.0,-14.09
2,0.0,-15.21
3,0.0,-23.25
4,0.0,-18.60
5,0.0,-17.30
6,0.0,-10.02